(1)
! PBE TbPmZr2N4, optimized geometry; values from VASP
! N(E_F) (states/eV/f.u.): 3.07
! Energy (eV/atom): -9.115
! Total magnetization (Bohr magnetons per cell): 0.00
! Uncorrected formation energy (eV per formula unit): -13.1
&SYSTEM
  ibrav = 0, nat = 8, ntyp = 4
/
ATOMIC_SPECIES
Tb 158.93 Tb.upf
Pm 145.00 Pm.upf
Zr 91.22 Zr.upf
N 14.01 N.upf
CELL_PARAMETERS angstrom
3.3758 0.0000 0.0000
0.0000 5.9349 -0.1478
0.0000 2.0591 5.4670
ATOMIC_POSITIONS crystal
Tb 0.5000 0.5000 0.0000
Pm 0.0000 0.5000 0.5000
Zr 0.0000 0.0000 0.0000
Zr 0.5000 0.0000 0.5000
N 0.0000 0.7732 0.7467
N 0.0000 0.2268 0.2533
N 0.5000 0.7772 0.2371
N 0.5000 0.2228 0.7629


(2)
! PBE NaCaPb2, optimized geometry; values from VASP
! Energy relative to the elements (eV per formula unit): -1.3
! N(E_F) (states/eV/f.u.): 2.82
! Energy (eV/atom): -3.009
! Total magnetization (Bohr magnetons per cell): 0.00
! Energy relative to the lowest polymorph listed for this composition (eV per atom): 0.017
&SYSTEM
  ibrav = 0, nat = 4, ntyp = 3
/
ATOMIC_SPECIES
Pb 207.20 Pb.upf
Na 22.99 Na.upf
Ca 40.08 Ca.upf
CELL_PARAMETERS angstrom
0.0000 3.8908 3.8908
3.8908 0.0000 3.8908
3.8908 3.8908 0.0000
ATOMIC_POSITIONS crystal
Pb 0.2500 0.2500 0.2500
Pb 0.7500 0.7500 0.7500
Na 0.0000 0.0000 0.0000
Ca 0.5000 0.5000 0.5000


(3)
! PBE ZnCrPt2, optimized geometry; values from VASP
! Energy relative to the elements (eV per formula unit): -1.4
! N(E_F) (states/eV/f.u.): 3.54
! Energy (eV/atom): -6.092
! Total magnetization (Bohr magnetons per cell): 3.43
&SYSTEM
  ibrav = 0, nat = 4, ntyp = 3
/
ATOMIC_SPECIES
Cr 52.00 Cr.upf
Pt 195.08 Pt.upf
Zn 65.41 Zn.upf
CELL_PARAMETERS angstrom
-2.8678 3.0396 1.9025
0.6655 -3.0600 3.3581
2.2393 1.5223 0.9434
ATOMIC_POSITIONS crystal
Cr 0.0000 0.5000 0.5000
Pt 0.0000 0.0000 0.0000
Pt 0.5000 0.5000 0.0000
Zn 0.5000 0.0000 0.5000


(4)
! PBE CrOs4Pb, optimized geometry; values from VASP
! Energy relative to the elements (eV per formula unit): 5.4
! N(E_F) (states/eV/f.u.): 7.10
! Energy (eV/atom): -8.812
! Total magnetization (Bohr magnetons per cell): 1.25
&SYSTEM
  ibrav = 0, nat = 6, ntyp = 3
/
ATOMIC_SPECIES
Cr 52.00 Cr.upf
Os 190.23 Os.upf
Pb 207.20 Pb.upf
CELL_PARAMETERS angstrom
3.7838 0.2195 3.6402
-1.2589 0.6195 5.0644
0.6365 -3.9804 3.3717
ATOMIC_POSITIONS crystal
Cr 0.0000 0.0000 0.0000
Os 0.6259 0.6259 0.1222
Os 0.6259 0.1222 0.6259
Os 0.6259 0.6259 0.6259
Os 0.1222 0.6259 0.6259
Pb 0.2500 0.2500 0.2500


(5)
! PBE In3BiS3, optimized geometry; values from VASP
! N(E_F) (states/eV/f.u.): 1.37
! Energy (eV/atom): -3.799
! Total magnetization (Bohr magnetons per cell): 0.00
! Uncorrected formation energy (eV per formula unit): -2.1
&SYSTEM
  ibrav = 0, nat = 14, ntyp = 3
/
ATOMIC_SPECIES
In 114.82 In.upf
Bi 208.98 Bi.upf
S 32.06 S.upf
CELL_PARAMETERS angstrom
-2.8426 5.7618 -2.1609
-6.7454 0.4877 -0.4580
-3.6140 5.5841 9.0114
ATOMIC_POSITIONS crystal
In 0.2645 0.5730 0.2265
In 0.9360 0.2645 0.2265
In 0.5730 0.9360 0.2265
In 0.4270 0.0640 0.7735
In 0.0640 0.7355 0.7735
In 0.7355 0.4270 0.7735
Bi 0.3277 0.3277 0.0170
Bi 0.6723 0.6723 0.9830
S 0.4274 0.7855 0.6600
S 0.7855 0.1271 0.6600
S 0.1271 0.4274 0.6600
S 0.8729 0.5726 0.3400
S 0.2145 0.8729 0.3400
S 0.5726 0.2145 0.3400


(6)
! PBE YCd2Pt2, optimized geometry; values from VASP
! Energy relative to the elements (eV per formula unit): -2.4
! N(E_F) (states/eV/f.u.): 2.15
! Energy (eV/atom): -4.562
! Total magnetization (Bohr magnetons per cell): 0.42
! Energy relative to the lowest polymorph listed for this composition (eV per atom): 0.163
&SYSTEM
  ibrav = 0, nat = 10, ntyp = 3
/
ATOMIC_SPECIES
Y 88.91 Y.upf
Pt 195.08 Pt.upf
Cd 112.41 Cd.upf
CELL_PARAMETERS angstrom
8.0664 0.0000 0.0000
0.0000 8.0664 0.0000
0.0000 0.0000 3.0523
ATOMIC_POSITIONS crystal
Y 0.0000 0.0000 0.0000
Y 0.5000 0.5000 0.0000
Pt 0.1779 0.6779 0.5000
Pt 0.6779 0.8221 0.5000
Pt 0.8221 0.3221 0.5000
Pt 0.3221 0.1779 0.5000
Cd 0.3783 0.8783 0.0000
Cd 0.8783 0.6217 0.0000
Cd 0.6217 0.1217 0.0000
Cd 0.1217 0.3783 0.0000


(7)
! PBE BIrO2, optimized geometry; values from VASP
! N(E_F) (states/eV/f.u.): 2.68
! Energy (eV/atom): -6.702
! Total magnetization (Bohr magnetons per cell): 1.26
! Uncorrected formation energy (eV per formula unit): -1.4
&SYSTEM
  ibrav = 0, nat = 4, ntyp = 3
/
ATOMIC_SPECIES
B 10.81 B.upf
Ir 192.22 Ir.upf
O 16.00 O.upf
CELL_PARAMETERS angstrom
1.5955 0.0000 6.5645
-0.7977 1.3817 6.5645
-0.7977 -1.3817 6.5645
ATOMIC_POSITIONS crystal
B 0.0000 0.0000 0.0000
Ir 0.5000 0.5000 0.5000
O 0.9358 0.9358 0.9358
O 0.0642 0.0642 0.0642


(8)
! PBE ZrHg3Bi, optimized geometry; values from VASP
! Energy relative to the elements (eV per formula unit): 3.0
! N(E_F) (states/eV/f.u.): 4.31
! Energy (eV/atom): -2.077
! Total magnetization (Bohr magnetons per cell): 0.00
! Energy relative to the lowest polymorph listed for this composition (eV per atom): 0.000
&SYSTEM
  ibrav = 0, nat = 5, ntyp = 3
/
ATOMIC_SPECIES
Bi 208.98 Bi.upf
Zr 91.22 Zr.upf
Hg 200.59 Hg.upf
CELL_PARAMETERS angstrom
-0.7353 4.5933 2.9684
-3.9099 1.6526 -3.5258
-3.8239 -2.5731 3.0343
ATOMIC_POSITIONS crystal
Bi 0.5000 0.5000 0.5000
Zr 0.0000 0.0000 0.0000
Hg 0.0000 0.5000 0.0000
Hg 0.0000 0.0000 0.5000
Hg 0.5000 0.0000 0.0000